## AsPtCBr2 (PBE)

Data for a relaxed structure of AsPtCBr2.

Cell: 4.612 4.612 4.343 Å, 90.00 90.00 90.00°
Positions (direct):
Br 0.500 0.000 0.000
Br 0.000 0.500 0.000
As 0.000 0.000 0.500
C 0.000 0.000 0.000
Pt 0.500 0.500 0.500

Output
Formation energy (no corrections) (meV/atom): 1495



## ReAsCBr2 (PBE)

Data for a relaxed structure of ReAsCBr2.

Cell: 5.153 5.153 4.785 Å, 90.00 90.00 90.00°
Site moments in Bohr magnetons follow the coordinates.
Positions (direct):
Re 0.000 0.000 0.000  1.15
Br 0.000 0.500 0.000  0.05
Br 0.500 0.000 0.000  0.05
C 0.500 0.500 0.500  0.95
As 0.000 0.000 0.500  -0.16

Output
Formation energy (no corrections) (meV/atom): 1832



## ReAsCBr2 (PBE)

Data for a relaxed structure of ReAsCBr2.

Cell: 4.404 4.404 4.287 Å, 90.00 90.00 90.00°
Positions (direct):
Re 0.500 0.500 0.500
Br 0.500 0.000 0.000
Br 0.000 0.500 0.000
As 0.000 0.000 0.500
C 0.000 0.000 0.000

Output
Formation energy (no corrections) (meV/atom): 2019



## AsRh2CBr (PBE)

Data for a relaxed structure of AsRh2CBr.

Cell: 4.817 3.783 4.817 Å, 90.00 90.00 90.00°
Positions (direct):
Br 0.500 0.500 0.500
As 0.000 0.000 0.000
Rh 0.000 0.000 0.500
Rh 0.500 0.000 0.000
C 0.000 0.500 0.000

Output
Formation energy (no corrections) (meV/atom): 1298



## AsRuCBr2 (PBE)

Data for a relaxed structure of AsRuCBr2.

Cell: 5.168 5.168 4.645 Å, 90.00 90.00 90.00°
Site moments in Bohr magnetons follow the coordinates.
Positions (direct):
C 0.500 0.500 0.500  0.88
As 0.000 0.000 0.500  -0.04
Br 0.500 0.000 0.000  -0.06
Br 0.000 0.500 0.000  -0.06
Ru 0.000 0.000 0.000  -0.32

Output
Formation energy (no corrections) (meV/atom): 1649



## AsRuCBr2 (PBE)

Data for a relaxed structure of AsRuCBr2.

Cell: 4.591 4.591 4.319 Å, 90.00 90.00 90.00°
Site moments in Bohr magnetons follow the coordinates.
Positions (direct):
As 0.000 0.000 0.500  -0.10
Ru 0.500 0.500 0.500  1.96
Br 0.000 0.500 0.000  0.07
Br 0.500 0.000 0.000  0.07
C 0.000 0.000 0.000  0.01

Output
Formation energy (no corrections) (meV/atom): 1668



## AsCSBr2 (PBE)

Data for a relaxed structure of AsCSBr2.

Cell: 4.590 4.590 4.547 Å, 90.00 90.00 90.00°
Positions (direct):
S 0.500 0.500 0.500
As 0.000 0.000 0.500
Br 0.000 0.500 0.000
Br 0.500 0.000 0.000
C 0.000 0.000 0.000

Output
Formation energy (no corrections) (meV/atom): 1427



## AsCSBr2 (PBE)

Data for a relaxed structure of AsCSBr2.

Cell: 5.052 5.052 5.082 Å, 90.00 90.00 90.00°
Site moments in Bohr magnetons follow the coordinates.
Positions (direct):
As 0.000 0.000 0.500  -0.56
C 0.500 0.500 0.500  0.86
S 0.000 0.000 0.000  0.05
Br 0.000 0.500 0.000  -0.01
Br 0.500 0.000 0.000  -0.01

Output
Formation energy (no corrections) (meV/atom): 1877



The calculation returns the following calculated total energy values, one per record and in order: -3.157 -4.102 -3.915 -4.752 -3.650 -3.631 -2.842 -2.392 eV per atom.
The calculation returns the following calculated volume values, one per record and in order: 18.5 25.4 16.6 17.6 24.8 18.2 19.2 25.9 Å³ per atom.
The calculation returns the following magnetic moment values, one per record and in order: 0.0 3.1 0.0 0.0 1.2 2.0 0.0 0.6 μB per formula unit.